Material: LaDy2Th2
Method: DFT, PBE
State: relaxed

## Properties
- Symmetry: P-3m1
- Total magnetic moment: 0.000 μB per atom
- Formation enthalpy at 0 K: 3 kJ/mol of atoms

Unit cell a=3.591 b=3.591 c=14.714 alpha=90.00 beta=90.00 gamma=120.00
Fractional positions:
Th (0.667, 0.333, 0.098)
Th (0.333, 0.667, 0.902)
La (0.000, 0.000, 0.500)
Dy (0.667, 0.333, 0.703)
Dy (0.333, 0.667, 0.297)